Entry 1:
Entry from Alexandria: an optimized crystal structure of NbSn3Hg (PBE-GGA).

Structure (POSCAR):
```
NbSn3Hg
1.0
-2.599 -2.451 4.070
1.216 -4.828 -2.131
4.593 -0.109 2.867
Sn Nb Hg
3 1 1
Cartesian
-1.299 -1.226 2.035
2.297 -0.055 1.433
0.608 -2.414 -1.066
0.000 0.000 0.000
1.605 -3.694 2.403
```

Properties
Excess energy over the best structure of this formula in the dataset in eV/atom: 0.000
Crystal system: cubic

---

Entry 2:
Entry from Alexandria: an optimized crystal structure of Tb2Pm4Dy2Ho (PBE-GGA).

Structure (POSCAR):
```
Tb2Pm4Dy2Ho
1.0
-0.364 3.879 -3.261
-7.196 -1.148 3.396
4.314 4.586 4.973
Dy Pm Tb Ho
2 4 2 1
Cartesian
-4.916 0.529 1.178
1.670 6.788 3.930
0.442 3.546 0.211
-3.688 3.771 4.896
-1.850 1.875 2.436
-1.397 5.442 2.671
-4.490 4.072 1.387
1.243 3.245 3.721
0.000 0.000 0.000
```

Properties
Crystal system: monoclinic

---

Entry 3:
Entry from Alexandria: an optimized crystal structure of MgIn4Ni (PBE-GGA).

Structure (POSCAR):
```
MgIn4Ni
1.0
-3.860 0.914 5.675
-5.698 -1.511 -3.632
5.381 -5.010 0.243
Mg In Ni
2 8 2
Cartesian
0.000 0.000 0.000
-4.779 -0.299 1.022
-2.388 -1.879 0.013
-6.829 -1.732 2.748
2.652 -3.876 -0.462
-5.948 -2.467 -0.759
-1.789 -3.728 2.273
1.771 -3.141 3.044
-0.908 -4.463 -1.233
-3.269 -1.144 3.519
0.301 -2.654 0.632
-4.478 -2.953 1.654
```

Properties
Excess energy over the best structure of this formula in the dataset in eV/atom: 0.000
Crystal system: tetragonal

---

Entry 4:
Entry from Alexandria: an optimized crystal structure of NaMg2TlNi (PBE-GGA).

Structure (POSCAR):
```
NaMg2TlNi
1.0
4.946 0.000 0.000
0.000 4.946 0.000
0.000 0.000 5.016
Mg Na Ni Tl
2 1 1 1
Cartesian
0.000 2.473 0.000
2.473 0.000 0.000
2.473 2.473 2.508
0.000 0.000 0.000
0.000 0.000 2.508
```

Properties
Crystal system: tetragonal

---

| no. | energy of formation (eV per atom) | final energy (Ry per atom) |
| --- | --- | --- |
| 1 | 0.224 | -0.312 |
| 2 | 0.018 | -0.342 |
| 3 | -0.071 | -0.230 |
| 4 | 0.001 | -0.186 |